[1]
K2BaI after structural relaxation. Source: the Alexandria database, functional PBE-GGA.

For the formation energy (no corrections), the calculation gives -490.8 meV per atom. The calculation puts the offset from the most stable computed form at 43 kJ/mol of formula units. The calculation puts the density of states at the Fermi level at 3.35 states/eV/f.u.

It has space group I-42d (No. 122), with a = 11.841 Å, b = 11.841 Å, c = 7.199 Å, α = 90.00°, β = 90.00° and γ = 90.00°. The inequivalent atoms are K at (0.166, 0.750, 0.125), Ba at (0.000, 0.000, 0.500) and I at (0.000, 0.000, 0.000).

---

[2]
CaLaCdRu after structural relaxation. Source: the Alexandria database, functional PBE-GGA.

The energy relative to the elements is -0.063 eV per atom. The calculation puts the density of states at the Fermi level at 3.41 states/eV/f.u.

It has space group F-43m (No. 216), with a = 7.342 Å, b = 7.342 Å, c = 7.342 Å, α = 90.00°, β = 90.00° and γ = 90.00°. The inequivalent atoms are Ca at (0.000, 0.000, 0.000), La at (0.000, 0.000, 0.500), Cd at (0.250, 0.250, 0.750) and Ru at (0.250, 0.250, 0.250).